[1]
VASP calculation (meta-GGA SCAN) on Mo2OsRh at its PBEsol-relaxed geometry.

Summary:
- total DFT energy (no corrections) (Ry/atom) = -3.230
- energy above the most stable polymorph in this dataset (meV per atom) = 0
- E_form (meV per atom) = -91.7

Cell lengths 3.8850, 3.8850, 7.6379 Å; angles 90.00, 90.00, 90.00 degrees
Closest atoms and distances in Å follow each position.
Space group I4/mmm (No. 139)
Inequivalent atoms, fractional coordinates:
Mo  0.0000  0.5000  0.2500 (multiplicity 4)  4 Os 2.72, 4 Rh 2.72, 4 Mo 2.75
Os  0.0000  0.0000  0.0000 (multiplicity 2)  8 Mo 2.72, 4 Rh 2.75
Rh  0.0000  0.0000  0.5000 (multiplicity 2)  8 Mo 2.72, 4 Os 2.75

---

[2]
VASP calculation (meta-GGA SCAN) on SiH2F at its PBEsol-relaxed geometry.

Summary:
- total DFT energy (no corrections) (Ry/atom) = -0.387
- energy above the most stable polymorph in this dataset (meV per atom) = 0

Cell lengths 3.6511, 3.6511, 10.6327 Å; angles 90.00, 90.00, 90.00 degrees
Closest atoms and distances in Å follow each position.
Space group I-42d (No. 122)
Inequivalent atoms, fractional coordinates:
Si  0.0000  0.0000  0.0000 (multiplicity 4)  4 H 1.64
H  0.0774  0.2500  0.1250 (multiplicity 8)  2 Si 1.64
F  0.0000  0.0000  0.5000 (multiplicity 4)  4 H 2.23

---

[3]
VASP calculation (meta-GGA SCAN) on Mn2PPb at its PBEsol-relaxed geometry.

Summary:
- total DFT energy (no corrections) (Ry/atom) = -2.264
- E_form (meV per atom) = -127.4

Cell lengths 3.4605, 3.4605, 18.8151 Å; angles 90.00, 90.00, 120.00 degrees
Closest atoms and distances in Å follow each position.
Space group R-3m (No. 166, hexagonal axes)
Inequivalent atoms, fractional coordinates:
Mn  0.0000  0.0000  0.2181 (multiplicity 6)  3 P 2.22
P  0.0000  0.0000  0.5000 (multiplicity 3)  6 Mn 2.22
Pb  0.0000  0.0000  0.0000 (multiplicity 3)  6 Mn 2.95

---

[4]
VASP calculation (meta-GGA SCAN) on Al2CoSb at its PBEsol-relaxed geometry.

Summary:
- energy relative to the elements, uncorrected (kcal/mol of atoms) = 5.44
- total DFT energy (no corrections) (Ry/atom) = -1.270

Cell lengths 4.3545, 3.1310, 5.0728 Å; angles 90.00, 110.31, 90.00 degrees
Closest atoms and distances in Å follow each position.
Space group P2/m (No. 10)
Inequivalent atoms, fractional coordinates:
Al  0.0000  0.0000  0.0000 (multiplicity 1)  4 Al 2.68, 2 Sb 2.71, 4 Co 2.98
Al  0.5000  0.5000  0.0000 (multiplicity 1)  4 Al 2.68, 2 Co 2.71, 4 Sb 2.98
Co  0.0000  0.5000  0.5000 (multiplicity 1)  4 Sb 2.68, 6 Al 2.71-2.98
Sb  0.5000  0.0000  0.5000 (multiplicity 1)  4 Co 2.68, 6 Al 2.71-2.98

---

[5]
VASP calculation (meta-GGA SCAN) on ScMnTl2 at its PBEsol-relaxed geometry.

Summary:
- total DFT energy (no corrections) (Ry/atom) = -3.266
- E_form (meV per atom) = -139.5

Cell lengths 3.3073, 3.3561, 7.2473 Å; angles 90.00, 90.25, 90.00 degrees
Closest atoms and distances in Å follow each position.
Space group P2/m (No. 10)
Inequivalent atoms, fractional coordinates:
Sc  0.0000  0.0000  0.0000 (multiplicity 1)  8 Tl 3.05-3.06, 4 Sc 3.31-3.36
Mn  0.0000  0.0000  0.5000 (multiplicity 1)  8 Tl 2.89-2.90
Tl  0.4994  0.5000  0.7313 (multiplicity 2)  4 Mn 2.89-2.90, 4 Sc 3.05-3.06

---

[6]
VASP calculation (meta-GGA SCAN) on Ca2AlAs at its PBEsol-relaxed geometry.

Summary:
- total DFT energy (no corrections) (Ry/atom) = -0.899
- energy above the most stable polymorph in this dataset (meV per atom) = 349
- E_form (meV per atom) = -409.0

Cell lengths 3.7611, 3.7611, 26.5773 Å; angles 90.00, 90.00, 120.00 degrees
Closest atoms and distances in Å follow each position.
Space group R-3m (No. 166, hexagonal axes)
Inequivalent atoms, fractional coordinates:
Ca  0.0000  0.0000  0.2382 (multiplicity 6)  3 As 2.89
Al  0.0000  0.0000  0.0000 (multiplicity 3)  6 Ca 3.33
As  0.0000  0.0000  0.5000 (multiplicity 3)  6 Ca 2.89

---

[7]
VASP calculation (meta-GGA SCAN) on BeRe2Ru at its PBEsol-relaxed geometry.

Summary:
- total DFT energy (no corrections) (Ry/atom) = -3.329
- energy above the most stable polymorph in this dataset (meV per atom) = 160
- E_form (meV per atom) = 50.0

Cell lengths 2.9666, 4.1571, 4.2676 Å; angles 90.00, 90.00, 90.00 degrees
Closest atoms and distances in Å follow each position.
Space group Pmmm (No. 47)
Inequivalent atoms, fractional coordinates:
Be  0.0000  0.0000  0.0000 (multiplicity 1)  4 Ru 2.55, 4 Re 2.60
Re  0.0000  0.5000  0.5000 (multiplicity 1)  4 Re 2.55, 4 Ru 2.60
Re  0.5000  0.0000  0.5000 (multiplicity 1)  4 Re 2.55, 4 Be 2.60
Ru  0.5000  0.5000  0.0000 (multiplicity 1)  4 Be 2.55, 4 Re 2.60

---

[8]
VASP calculation (meta-GGA SCAN) on Sc2PdI at its PBEsol-relaxed geometry.

Summary:
- energy relative to the elements, uncorrected (kcal/mol of atoms) = -8.37
- total DFT energy (no corrections) (Ry/atom) = -1.827

Cell lengths 6.8769, 6.8769, 6.8769 Å; angles 90.00, 90.00, 90.00 degrees
Closest atoms and distances in Å follow each position.
Space group Fm-3m (No. 225)
Inequivalent atoms, fractional coordinates:
Sc  0.2500  0.2500  0.2500 (multiplicity 8)  4 I 2.98, 4 Pd 2.98
Pd  0.0000  0.0000  0.0000 (multiplicity 4)  8 Sc 2.98
I  0.0000  0.0000  0.5000 (multiplicity 4)  8 Sc 2.98

---

[9]
VASP calculation (meta-GGA SCAN) on PRuW2 at its PBEsol-relaxed geometry.

Summary:
- total DFT energy (no corrections) (Ry/atom) = -3.379
- E_form (meV per atom) = 172.4

Cell lengths 2.8127, 3.9624, 5.0652 Å; angles 90.00, 90.00, 90.00 degrees
Closest atoms and distances in Å follow each position.
Space group Pmmm (No. 47)
Inequivalent atoms, fractional coordinates:
P  0.0000  0.0000  0.0000 (multiplicity 1)  2 Ru 2.53, 8 W 2.73, 2 P 2.81
Ru  0.0000  0.0000  0.5000 (multiplicity 1)  2 P 2.53, 8 W 2.75, 2 Ru 2.81
W  0.5000  0.5000  0.2456 (multiplicity 2)  2 W 2.49-2.58, 4 P 2.73, 4 Ru 2.75

---

[10]
VASP calculation (meta-GGA SCAN) on TlOs2Se at its PBEsol-relaxed geometry.

Summary:
- energy relative to the elements, uncorrected (kcal/mol of atoms) = 28.30
- total DFT energy (no corrections) (Ry/atom) = -4.250
- energy above the most stable polymorph in this dataset (meV per atom) = 0

Cell lengths 4.5317, 4.5317, 3.1753 Å; angles 90.00, 90.00, 90.00 degrees
Closest atoms and distances in Å follow each position.
Space group P4/mmm (No. 123)
Inequivalent atoms, fractional coordinates:
Tl  0.0000  0.0000  0.0000 (multiplicity 1)  8 Os 2.77
Os  0.0000  0.5000  0.5000 (multiplicity 2)  4 Tl 2.77, 4 Se 2.77
Se  0.5000  0.5000  0.0000 (multiplicity 1)  8 Os 2.77

---

[11]
VASP calculation (meta-GGA SCAN) on Mn3TeN at its PBEsol-relaxed geometry.

Summary:
- energy relative to the elements, uncorrected (kcal/mol of atoms) = -2.96
- total DFT energy (no corrections) (Ry/atom) = -1.499

Cell lengths 3.9105, 3.9105, 3.9105 Å; angles 90.00, 90.00, 90.00 degrees
Closest atoms and distances in Å follow each position.
Space group Pm-3m (No. 221)
Inequivalent atoms, fractional coordinates:
Mn  0.0000  0.0000  0.5000 (multiplicity 3)  2 N 1.96
Te  0.5000  0.5000  0.5000 (multiplicity 1)  12 Mn 2.77
N  0.0000  0.0000  0.0000 (multiplicity 1)  6 Mn 1.96

---

[12]
VASP calculation (meta-GGA SCAN) on KAl2Co at its PBEsol-relaxed geometry.

Summary:
- total DFT energy (no corrections) (Ry/atom) = -0.692
- energy above the most stable polymorph in this dataset (meV per atom) = 850
- E_form (meV per atom) = 864.1

Cell lengths 2.8121, 5.0621, 5.1266 Å; angles 90.00, 90.00, 90.00 degrees
Closest atoms and distances in Å follow each position.
Space group Pmmm (No. 47)
Inequivalent atoms, fractional coordinates:
K  0.0000  0.0000  0.0000 (multiplicity 1)  2 K 2.81, 4 Al 2.90, 4 Co 2.92
Al  0.0000  0.5000  0.5000 (multiplicity 1)  6 Al 2.81-2.92, 4 Co 2.90
Al  0.5000  0.5000  0.0000 (multiplicity 1)  6 Al 2.81-2.92, 4 K 2.90
Co  0.5000  0.0000  0.5000 (multiplicity 1)  2 Co 2.81, 4 Al 2.90, 4 K 2.92

---

[13]
VASP calculation (meta-GGA SCAN) on Zr2NiSe at its PBEsol-relaxed geometry.

Summary:
- energy relative to the elements, uncorrected (kcal/mol of atoms) = -10.08
- total DFT energy (no corrections) (Ry/atom) = -1.826

Cell lengths 3.8054, 3.8054, 9.5029 Å; angles 90.00, 90.00, 90.00 degrees
Closest atoms and distances in Å follow each position.
Space group I-4m2 (No. 119)
Inequivalent atoms, fractional coordinates:
Zr  0.0000  0.0000  0.0000 (multiplicity 2)  4 Ni 2.69
Zr  0.0000  0.5000  0.2500 (multiplicity 2)  4 Se 2.69
Ni  0.0000  0.0000  0.5000 (multiplicity 2)  4 Zr 2.69
Se  0.0000  0.5000  0.7500 (multiplicity 2)  4 Zr 2.69